Model one:
A plane-wave DFT calculation with GGA-PBE was carried out for an optimized crystal structure of Er2PbSe.

Lattice parameters (Å, degrees): 8.501 8.501 8.501 26.19 26.19 26.19
Fractional positions:
Er 0.000 0.000 0.000
Er 0.193 0.193 0.193
Pb 0.764 0.764 0.764
Se 0.596 0.596 0.596

Values from the calculation:
magnetization	0.0000	μB/atom
crystal system	trigonal
SG	R3m (160)

=====

Model two:
A plane-wave DFT calculation with GGA-PBE was carried out for an optimized crystal structure of Er2PbSe.

Lattice parameters (Å, degrees): 7.345 7.345 7.345 131.59 131.59 70.88
Fractional positions:
Er 0.119 0.369 0.750
Er 0.369 0.119 0.250
Er 0.631 0.881 0.750
Er 0.881 0.631 0.250
Pb 0.375 0.625 0.750
Pb 0.625 0.375 0.250
Se 0.125 0.875 0.250
Se 0.875 0.125 0.750

Values from the calculation:
magnetization	0.0000	μB/atom
crystal system	tetragonal
SG	I4_1/amd (141)

=====

Model three:
A plane-wave DFT calculation with GGA-PBE was carried out for an optimized crystal structure of Er2PbSe.

Lattice parameters (Å, degrees): 7.446 7.446 7.446 32.80 32.80 32.80
Fractional positions:
Er 0.246 0.246 0.246
Er 0.754 0.754 0.754
Pb 0.000 0.000 0.000
Se 0.500 0.500 0.500

Values from the calculation:
magnetization	0.0000	μB/atom
crystal system	trigonal
SG	R-3m (166)

=====

Model four:
A plane-wave DFT calculation with GGA-PBE was carried out for an optimized crystal structure of Er2PbSe.

Lattice parameters (Å, degrees): 3.522 3.522 7.971 90.00 90.00 90.00
Fractional positions:
Er 0.000 0.000 0.224
Er 0.000 0.000 0.776
Pb 0.500 0.500 0.500
Se 0.500 0.500 0.000

Values from the calculation:
magnetization	0.0001	μB/atom
crystal system	tetragonal
SG	P4/mmm (123)

=====

Stability verdict: model two, ahead by 3.1 kJ/mol of atoms